Record 1
A plane-wave DFT calculation with PBE was carried out for a geometry-optimized Tc2NiSn structure.

Calculated density ... 10.33 g/cm³
Total magnetic moment ... 0.01 μB per formula unit
Energy ... -118.381 eV for the cell shown

Lattice parameters (Å, degrees): 6.2150 6.2150 6.2150 90.00 90.00 90.00
Closest atoms and distances in Å follow each position.
Space group F-43m (No. 216)
Symmetry-distinct sites (fractional):
Tc (0.0000, 0.0000, 0.0000)  4 Tc 2.69, 4 Ni 2.69
Tc (0.2500, 0.2500, 0.2500)  4 Sn 2.69, 4 Tc 2.69
Ni (0.2500, 0.2500, 0.7500)  4 Sn 2.69, 4 Tc 2.69
Sn (0.0000, 0.0000, 0.5000)  4 Tc 2.69, 4 Ni 2.69

Record 2
A plane-wave DFT calculation with PBE was carried out for a geometry-optimized TcNiSnW structure.

Calculated density ... 12.32 g/cm³
Total magnetic moment ... 0.74 μB per formula unit
Energy ... -128.347 eV for the cell shown

Lattice parameters (Å, degrees): 6.2794 6.2794 6.2794 90.00 90.00 90.00
Closest atoms and distances in Å follow each position.
Space group F-43m (No. 216)
Symmetry-distinct sites (fractional):
Tc (0.0000, 0.0000, 0.0000)  4 W 2.72, 4 Sn 2.72
Ni (0.0000, 0.0000, 0.5000)  4 W 2.72, 4 Sn 2.72
Sn (0.2500, 0.2500, 0.2500)  4 Tc 2.72, 4 Ni 2.72
W (0.2500, 0.2500, 0.7500)  4 Tc 2.72, 4 Ni 2.72

Record 3
A plane-wave DFT calculation with PBE was carried out for a geometry-optimized YTcNiSn structure.

Calculated density ... 8.45 g/cm³
Total magnetic moment ... 0.00 μB per formula unit
Energy ... -107.926 eV for the cell shown

Lattice parameters (Å, degrees): 6.5923 6.5923 6.5923 90.00 90.00 90.00
Closest atoms and distances in Å follow each position.
Space group F-43m (No. 216)
Symmetry-distinct sites (fractional):
Y (0.0000, 0.0000, 0.0000)  4 Tc 2.85, 4 Ni 2.85
Tc (0.2500, 0.2500, 0.2500)  4 Sn 2.85, 4 Y 2.85
Ni (0.2500, 0.2500, 0.7500)  4 Sn 2.85, 4 Y 2.85
Sn (0.0000, 0.0000, 0.5000)  4 Tc 2.85, 4 Ni 2.85

Record 4
A plane-wave DFT calculation with PBE was carried out for a geometry-optimized Ni2SnTe3 structure.

Calculated density ... 7.49 g/cm³
Total magnetic moment ... 0.00 μB per formula unit
Energy ... -102.907 eV for the cell shown

Lattice parameters (Å, degrees): 3.8157 13.1791 10.9134 90.00 90.00 90.00
Closest atoms and distances in Å follow each position.
Space group Cmcm (No. 63)
Symmetry-distinct sites (fractional):
Ni (0.0000, 0.0000, 0.0000)  6 Te 2.57-2.73
Ni (0.0000, 0.3656, 0.2500)  4 Te 2.55-2.61, 2 Sn 2.61
Sn (0.0000, 0.2693, 0.7500)  2 Ni 2.61
Te (0.0000, 0.0004, 0.2500)  4 Ni 2.61-2.73
Te (0.0000, 0.3697, 0.0167)  3 Ni 2.55-2.57

Record 5
A plane-wave DFT calculation with PBE was carried out for a geometry-optimized NiSnTe structure.

Calculated density ... 7.49 g/cm³
Total magnetic moment ... 0.00 μB per formula unit
Energy ... -51.995 eV for the cell shown

Lattice parameters (Å, degrees): 6.4678 6.4678 6.4678 90.00 90.00 90.00
Closest atoms and distances in Å follow each position.
Space group F-43m (No. 216)
Symmetry-distinct sites (fractional):
Ni (0.0000, 0.0000, 0.0000)  4 Te 2.80, 4 Sn 2.80
Sn (0.2500, 0.2500, 0.7500)  4 Ni 2.80
Te (0.2500, 0.2500, 0.2500)  4 Ni 2.80

Record 6
A plane-wave DFT calculation with PBE was carried out for a geometry-optimized NiSnTe structure.

Calculated density ... 7.26 g/cm³
Total magnetic moment ... 0.00 μB per formula unit
Energy ... -50.897 eV for the cell shown

Lattice parameters (Å, degrees): 6.0604 3.6724 12.5424 90.00 90.00 90.00
Closest atoms and distances in Å follow each position.
Space group Pnma (No. 62)
Symmetry-distinct sites (fractional):
Ni (0.0968, 0.2500, 0.2175)  4 Te 2.66-2.70, 2 Sn 2.75
Sn (0.2046, 0.2500, 0.5861)  2 Ni 2.75
Te (0.1983, 0.2500, 0.8398)  4 Ni 2.66-2.70

The lowest calculated density belongs to which entry? number 6

Please write out number 1 again, unchanged.
A plane-wave DFT calculation with PBE was carried out for a geometry-optimized Tc2NiSn structure.

Calculated density ... 10.33 g/cm³
Total magnetic moment ... 0.01 μB per formula unit
Energy ... -118.381 eV for the cell shown

Lattice parameters (Å, degrees): 6.2150 6.2150 6.2150 90.00 90.00 90.00
Closest atoms and distances in Å follow each position.
Space group F-43m (No. 216)
Symmetry-distinct sites (fractional):
Tc (0.0000, 0.0000, 0.0000)  4 Tc 2.69, 4 Ni 2.69
Tc (0.2500, 0.2500, 0.2500)  4 Sn 2.69, 4 Tc 2.69
Ni (0.2500, 0.2500, 0.7500)  4 Sn 2.69, 4 Tc 2.69
Sn (0.0000, 0.0000, 0.5000)  4 Tc 2.69, 4 Ni 2.69

Copy entry 6 word for word.
A plane-wave DFT calculation with PBE was carried out for a geometry-optimized NiSnTe structure.

Calculated density ... 7.26 g/cm³
Total magnetic moment ... 0.00 μB per formula unit
Energy ... -50.897 eV for the cell shown

Lattice parameters (Å, degrees): 6.0604 3.6724 12.5424 90.00 90.00 90.00
Closest atoms and distances in Å follow each position.
Space group Pnma (No. 62)
Symmetry-distinct sites (fractional):
Ni (0.0968, 0.2500, 0.2175)  4 Te 2.66-2.70, 2 Sn 2.75
Sn (0.2046, 0.2500, 0.5861)  2 Ni 2.75
Te (0.1983, 0.2500, 0.8398)  4 Ni 2.66-2.70